PBE La2NF2, relaxed; energy above the most stable polymorph in this dataset = 0.00 eV per formula unit; raw formation energy = -2.768 eV/atom
1.0
3.8069 0.0000 0.0000
-1.9035 3.2969 0.0000
0.0000 0.0000 6.9200
La N F
2 1 2
Direct
0.3333 0.6667 0.2930
0.6667 0.3333 0.7070
0.0000 0.0000 0.5000
0.3333 0.6667 0.8853
0.6667 0.3333 0.1147

PBE LaNF, relaxed; raw formation energy = -2.020 eV/atom
1.0
-1.6748 1.6748 7.6696
1.6748 -1.6748 7.6696
1.6748 1.6748 -7.6696
La N F
2 2 2
Direct
0.1237 0.1237 0.0000
0.8763 0.8763 0.0000
0.4537 0.4537 0.0000
0.5463 0.5463 0.0000
0.2894 0.2894 0.0000
0.7106 0.7106 0.0000

PBE LaNF3, relaxed; energy above the most stable polymorph in this dataset = 0.00 eV per formula unit; raw formation energy = -2.247 eV/atom
1.0
4.6916 0.0000 0.0000
0.0000 4.6916 0.0000
0.0000 0.0000 4.6916
La N F
1 1 3
Direct
0.0000 0.0000 0.0000
0.5000 0.5000 0.5000
0.0000 0.0000 0.5000
0.0000 0.5000 0.0000
0.5000 0.0000 0.0000

PBE La2NF, relaxed; raw formation energy = -2.015 eV/atom
1.0
1.8225 1.0522 6.5733
-1.8225 1.0522 6.5733
0.0000 -2.1044 6.5733
La N F
2 1 1
Direct
0.0000 0.0000 0.0000
0.1914 0.1914 0.1914
0.5964 0.5964 0.5964
0.4289 0.4289 0.4289

PBE LaNF3, relaxed; energy above the most stable polymorph in this dataset = 5.74 eV per formula unit; raw formation energy = -1.099 eV/atom
1.0
4.0733 0.0000 0.0000
0.0000 4.0733 0.0000
0.0000 0.0000 4.0733
La N F
1 1 3
Direct
0.0000 0.0000 0.0000
0.5000 0.5000 0.5000
0.0000 0.5000 0.5000
0.5000 0.0000 0.5000
0.5000 0.5000 0.0000

PBE La2NF2, relaxed; energy above the most stable polymorph in this dataset = 0.41 eV per formula unit; raw formation energy = -2.685 eV/atom
1.0
7.9502 0.0000 0.0000
0.0000 7.1706 0.0000
-0.0020 0.0000 6.6761
La N F
8 4 8
Direct
0.1188 0.1063 0.2994
0.1188 0.3937 0.7994
0.3606 0.5950 0.2461
0.3606 0.9050 0.7461
0.6394 0.0950 0.2539
0.6394 0.4050 0.7539
0.8812 0.6063 0.2006
0.8812 0.8937 0.7006
0.1299 0.0793 0.6540
0.1299 0.4207 0.1540
0.8701 0.5793 0.8460
0.8701 0.9207 0.3460
0.1894 0.6566 0.5630
0.1894 0.8434 0.0630
0.4376 0.1810 0.9439
0.4376 0.3190 0.4439
0.5624 0.6810 0.5561
0.5624 0.8190 0.0561
0.8106 0.1566 0.9370
0.8106 0.3434 0.4370

PBE La2NF, relaxed; raw formation energy = -1.898 eV/atom
1.0
-2.9202 2.9202 5.6651
2.9202 -2.9202 5.6651
2.9202 2.9202 -5.6651
La N F
4 2 2
Direct
0.0937 0.6250 0.9687
0.3750 0.3437 0.4687
0.6563 0.1250 0.0313
0.8750 0.9063 0.5313
0.0000 0.0000 0.0000
0.7500 0.2500 0.5000
0.2500 0.7500 0.5000
0.5000 0.5000 0.0000

PBE La2NF, relaxed; raw formation energy = -1.539 eV/atom
1.0
0.0000 3.2083 3.2083
3.2083 0.0000 3.2083
3.2083 3.2083 0.0000
La N F
2 1 1
Direct
0.2500 0.2500 0.2500
0.7500 0.7500 0.7500
0.0000 0.0000 0.0000
0.5000 0.5000 0.5000

PBE LaNbN2F, relaxed; energy above the most stable polymorph in this dataset = 8.77 eV per formula unit; raw formation energy = 0.258 eV/atom
1.0
4.5840 0.0000 0.0000
0.0000 4.5840 0.0000
0.0000 0.0000 4.3801
La Nb N F
1 1 2 1
Direct
0.0000 0.0000 0.0000
0.5000 0.5000 0.5000
0.0000 0.5000 0.0000
0.5000 0.0000 0.0000
0.0000 0.0000 0.5000

PBE LaNbN2F, relaxed; energy above the most stable polymorph in this dataset = 0.00 eV per formula unit; raw formation energy = -1.496 eV/atom
1.0
4.1748 0.0000 0.0000
0.0000 4.1748 0.0000
0.0000 0.0000 4.0782
La Nb N F
1 1 2 1
Direct
0.0000 0.0000 0.0000
0.5000 0.5000 0.5000
0.0000 0.5000 0.5000
0.5000 0.0000 0.5000
0.5000 0.5000 0.0000